No. 1
SnPdRu3 PBE-GGA relaxed; DFT total energy = -5.6952 eV/atom; M_tot = 4.857 μB per cell; relative energy among the computed polymorphs = 0 meV per atom; energy of formation = 39.4 kcal/mol of atoms
1.0
-1.254 4.208 -1.839
-4.578 -0.993 0.849
0.367 1.992 4.308
Ru Sn Pd
3 1 1
direct
0.000 0.500 0.000
0.000 0.000 0.500
0.500 0.000 0.000
0.500 0.500 0.500
0.000 0.000 0.000

=====

No. 2
SnPd3Ru PBE-GGA relaxed; DFT total energy = -4.8286 eV/atom; M_tot = 1.774 μB per cell; relative energy among the computed polymorphs = 0 meV per atom; energy of formation = 21.7 kcal/mol of atoms
1.0
-2.505 2.683 3.131
-2.187 -3.970 1.652
3.495 -0.561 3.278
Ru Sn Pd
1 1 3
direct
0.000 0.000 0.000
0.500 0.500 0.500
0.000 0.500 0.000
0.000 0.000 0.500
0.500 0.000 0.000

=====

No. 3
SnPdRu PBE-GGA relaxed; DFT total energy = -6.1443 eV/atom; M_tot = 0.000 μB per cell; energy of formation = 0.3 kcal/mol of atoms
1.0
-1.338 -0.497 2.648
0.626 -2.933 -0.235
10.468 3.439 4.229
Ru Sn Pd
2 2 2
direct
0.286 0.286 0.572
0.714 0.714 0.428
0.134 0.134 0.269
0.866 0.866 0.731
0.559 0.559 0.118
0.441 0.441 0.882